Density functional theory data (SCAN) for a PBEsol-optimized structure of LaMgI2N.

Properties
* formation energy (no corrections): -0.48 eV/atom
* total magnetization: 0.8 μB/f.u.
* total energy: -26.65 eV per atom
* volume: 167.9 Å³ per cell

Geometry as CIF:
```
data_LaMgI2N
_cell_length_a 6.376
_cell_length_b 6.376
_cell_length_c 4.131
_cell_angle_alpha 90.00
_cell_angle_beta 90.00
_cell_angle_gamma 90.00
_symmetry_space_group_name_H-M 'P 4/m m m'
_symmetry_Int_Tables_number 123
_symmetry_space_group_name_Hall '-P 4 2'
loop_
_atom_site_label
_atom_site_fract_x
_atom_site_fract_y
_atom_site_fract_z
La1 0.000 0.000 0.000
Mg1 0.500 0.500 0.500
I1 0.000 0.500 0.000
N1 0.000 0.000 0.500
```